1.
First-principles (GGA-PBE) data for a relaxed AlIn2Pb2 crystal, as listed in Alexandria via LeMat-Bulk.

Structure (CIF):
```
data_AlIn2Pb2
_chemical_formula_sum 'Al2 In4 Pb4'
_cell_length_a 7.191
_cell_length_b 7.191
_cell_length_c 5.527
_cell_angle_alpha 90.00
_cell_angle_beta 90.00
_cell_angle_gamma 90.00
_space_group_name_H-M_alt 'P 1'
_space_group_IT_number 1
loop_
_space_group_symop_operation_xyz
'x,y,z'
loop_
_atom_site_label
_atom_site_fract_x
_atom_site_fract_y
_atom_site_fract_z
Pb1 0.318 0.182 0.500
Pb2 0.682 0.818 0.500
Pb3 0.182 0.682 0.500
Pb4 0.818 0.318 0.500
In1 0.143 0.357 0.000
In2 0.857 0.643 0.000
In3 0.357 0.857 0.000
In4 0.643 0.143 0.000
Al1 0.500 0.500 0.000
Al2 0.000 0.000 0.000
```

Computed properties:
Its magnetization is 0.00 Bohr magnetons per cell. As for the final energy: -3.1606 eV/atom. The symmetry is No. 127. As for the formation energy from the elements: 0.17 eV/atom. The energy relative to the lowest polymorph listed for this composition is 0 meV/atom.

=====

2.
First-principles (GGA-PBE) data for a relaxed Al2InPb crystal, as listed in Alexandria via LeMat-Bulk.

Structure (CIF):
```
data_Al2InPb
_chemical_formula_sum 'Al2 In1 Pb1'
_cell_length_a 5.406
_cell_length_b 5.406
_cell_length_c 5.738
_cell_angle_alpha 79.26
_cell_angle_beta 79.26
_cell_angle_gamma 35.75
_space_group_name_H-M_alt 'P 1'
_space_group_IT_number 1
loop_
_space_group_symop_operation_xyz
'x,y,z'
loop_
_atom_site_label
_atom_site_fract_x
_atom_site_fract_y
_atom_site_fract_z
Pb1 0.250 0.250 0.250
Al1 0.003 0.003 0.966
Al2 0.497 0.497 0.534
In1 0.750 0.750 0.750
```

Computed properties:
Its magnetization is 0.00 Bohr magnetons per cell. As for the final energy: -3.2422 eV/atom. The symmetry is No. 12. As for the formation energy from the elements: 0.24 eV/atom. The energy relative to the lowest polymorph listed for this composition is 96 meV/atom.

=====

3.
First-principles (GGA-PBE) data for a relaxed Al2InPb crystal, as listed in Alexandria via LeMat-Bulk.

Structure (CIF):
```
data_Al2InPb
_chemical_formula_sum 'Al2 In1 Pb1'
_cell_length_a 5.302
_cell_length_b 5.302
_cell_length_c 3.394
_cell_angle_alpha 90.00
_cell_angle_beta 90.00
_cell_angle_gamma 90.00
_space_group_name_H-M_alt 'P 1'
_space_group_IT_number 1
loop_
_space_group_symop_operation_xyz
'x,y,z'
loop_
_atom_site_label
_atom_site_fract_x
_atom_site_fract_y
_atom_site_fract_z
Al1 0.000 0.000 0.000
Al2 0.500 0.500 0.000
In1 0.500 0.000 0.500
Pb1 0.000 0.500 0.500
```

Computed properties:
Its magnetization is 0.00 Bohr magnetons per cell. As for the final energy: -3.2379 eV/atom. The symmetry is No. 123. As for the formation energy from the elements: 0.25 eV/atom. The energy relative to the lowest polymorph listed for this composition is 101 meV/atom.

=====

4.
First-principles (GGA-PBE) data for a relaxed Al2InPb crystal, as listed in Alexandria via LeMat-Bulk.

Structure (CIF):
```
data_Al2InPb
_chemical_formula_sum 'Al2 In1 Pb1'
_cell_length_a 3.305
_cell_length_b 5.728
_cell_length_c 6.240
_cell_angle_alpha 54.29
_cell_angle_beta 90.00
_cell_angle_gamma 90.00
_space_group_name_H-M_alt 'P 1'
_space_group_IT_number 1
loop_
_space_group_symop_operation_xyz
'x,y,z'
loop_
_atom_site_label
_atom_site_fract_x
_atom_site_fract_y
_atom_site_fract_z
Al1 0.500 0.500 0.000
Al2 0.000 0.000 0.000
In1 0.500 0.500 0.500
Pb1 0.000 0.000 0.500
```

Computed properties:
Its magnetization is 0.00 Bohr magnetons per cell. As for the final energy: -3.2343 eV/atom. The symmetry is No. 10. As for the formation energy from the elements: 0.25 eV/atom. The energy relative to the lowest polymorph listed for this composition is 104 meV/atom.

=====

5.
First-principles (GGA-PBE) data for a relaxed AlIn2Pb crystal, as listed in Alexandria via LeMat-Bulk.

Structure (CIF):
```
data_AlIn2Pb
_chemical_formula_sum 'Al1 In2 Pb1'
_cell_length_a 6.382
_cell_length_b 6.382
_cell_length_c 6.382
_cell_angle_alpha 147.90
_cell_angle_beta 130.02
_cell_angle_gamma 60.64
_space_group_name_H-M_alt 'P 1'
_space_group_IT_number 1
loop_
_space_group_symop_operation_xyz
'x,y,z'
loop_
_atom_site_label
_atom_site_fract_x
_atom_site_fract_y
_atom_site_fract_z
In1 0.756 0.256 0.500
In2 0.025 0.025 0.000
Al1 0.243 0.743 0.500
Pb1 0.475 0.475 0.000
```

Computed properties:
Its magnetization is 0.00 Bohr magnetons per cell. As for the final energy: -3.0815 eV/atom. The symmetry is No. 44. As for the formation energy from the elements: 0.15 eV/atom. The energy relative to the lowest polymorph listed for this composition is 59 meV/atom.

=====

6.
First-principles (GGA-PBE) data for a relaxed AlInPb crystal, as listed in Alexandria via LeMat-Bulk.

Structure (CIF):
```
data_AlInPb
_chemical_formula_sum 'Al1 In1 Pb1'
_cell_length_a 5.126
_cell_length_b 5.126
_cell_length_c 3.429
_cell_angle_alpha 90.00
_cell_angle_beta 90.00
_cell_angle_gamma 120.00
_space_group_name_H-M_alt 'P 1'
_space_group_IT_number 1
loop_
_space_group_symop_operation_xyz
'x,y,z'
loop_
_atom_site_label
_atom_site_fract_x
_atom_site_fract_y
_atom_site_fract_z
Al1 0.000 0.000 0.131
Pb1 0.667 0.333 0.681
In1 0.333 0.667 0.189
```

Computed properties:
Its magnetization is 0.00 Bohr magnetons per cell. As for the final energy: -3.2066 eV/atom. The symmetry is No. 156. As for the formation energy from the elements: 0.19 eV/atom. The energy relative to the lowest polymorph listed for this composition is 54 meV/atom.

=====

7.
First-principles (GGA-PBE) data for a relaxed Al2InPb2 crystal, as listed in Alexandria via LeMat-Bulk.

Structure (CIF):
```
data_Al2InPb2
_chemical_formula_sum 'Al4 In2 Pb4'
_cell_length_a 8.859
_cell_length_b 8.859
_cell_length_c 3.386
_cell_angle_alpha 90.00
_cell_angle_beta 90.00
_cell_angle_gamma 90.00
_space_group_name_H-M_alt 'P 1'
_space_group_IT_number 1
loop_
_space_group_symop_operation_xyz
'x,y,z'
loop_
_atom_site_label
_atom_site_fract_x
_atom_site_fract_y
_atom_site_fract_z
Al1 0.615 0.885 0.500
Al2 0.115 0.615 0.500
Al3 0.885 0.385 0.500
Al4 0.385 0.115 0.500
Pb1 0.322 0.822 0.000
Pb2 0.822 0.678 0.000
Pb3 0.678 0.178 0.000
Pb4 0.178 0.322 0.000
In1 0.500 0.500 0.000
In2 0.000 0.000 0.000
```

Computed properties:
Its magnetization is 0.00 Bohr magnetons per cell. As for the final energy: -3.2583 eV/atom. The symmetry is No. 127. As for the formation energy from the elements: 0.27 eV/atom. The energy relative to the lowest polymorph listed for this composition is 104 meV/atom.

=====

8.
First-principles (GGA-PBE) data for a relaxed AlInPb crystal, as listed in Alexandria via LeMat-Bulk.

Structure (CIF):
```
data_AlInPb
_chemical_formula_sum 'Al2 In2 Pb2'
_cell_length_a 3.558
_cell_length_b 3.558
_cell_length_c 12.442
_cell_angle_alpha 90.00
_cell_angle_beta 90.00
_cell_angle_gamma 90.00
_space_group_name_H-M_alt 'P 1'
_space_group_IT_number 1
loop_
_space_group_symop_operation_xyz
'x,y,z'
loop_
_atom_site_label
_atom_site_fract_x
_atom_site_fract_y
_atom_site_fract_z
Pb1 0.000 0.500 0.205
Pb2 0.500 0.000 0.795
In1 0.000 0.500 0.589
In2 0.500 0.000 0.411
Al1 0.000 0.500 0.952
Al2 0.500 0.000 0.048
```

Computed properties:
Its magnetization is 0.00 Bohr magnetons per cell. As for the final energy: -3.2607 eV/atom. The symmetry is No. 129. As for the formation energy from the elements: 0.14 eV/atom. The energy relative to the lowest polymorph listed for this composition is 0 meV/atom.